(1)
The following is a DFT calculation (PBE) of a relaxed ErTaIrRu crystal.

```
data_ErTaIrRu
_space_group_name_H-M_alt 'F -4 3 m'
_space_group_IT_number 216
_space_group_name_Hall 'F -4 2 3'
_cell_length_a 6.5504
_cell_length_b 6.5504
_cell_length_c 6.5504
_cell_angle_alpha 90.00
_cell_angle_beta 90.00
_cell_angle_gamma 90.00
loop_
_atom_site_label
_atom_site_type_symbol
_atom_site_fract_x
_atom_site_fract_y
_atom_site_fract_z
Er1 Er 0.0000 0.0000 0.0000
Ta1 Ta 0.0000 0.0000 0.5000
Ir1 Ir 0.2500 0.2500 0.7500
Ru1 Ru 0.2500 0.2500 0.2500
```

Summary:
E_form (eV/atom): -0.463
M_tot (Bohr magnetons per cell): 0.0
V (Å³/cell): 281
Crystal system: cubic

---

(2)
The following is a DFT calculation (PBE) of a relaxed ErTiIrRu crystal.

```
data_ErTiIrRu
_space_group_name_H-M_alt 'F -4 3 m'
_space_group_IT_number 216
_space_group_name_Hall 'F -4 2 3'
_cell_length_a 6.4793
_cell_length_b 6.4793
_cell_length_c 6.4793
_cell_angle_alpha 90.00
_cell_angle_beta 90.00
_cell_angle_gamma 90.00
loop_
_atom_site_label
_atom_site_type_symbol
_atom_site_fract_x
_atom_site_fract_y
_atom_site_fract_z
Er1 Er 0.0000 0.0000 0.0000
Ti1 Ti 0.0000 0.0000 0.5000
Ir1 Ir 0.2500 0.2500 0.7500
Ru1 Ru 0.2500 0.2500 0.2500
```

Summary:
E_form (eV/atom): -0.648
M_tot (Bohr magnetons per cell): 0.0
V (Å³/cell): 272
Crystal system: cubic

---

(3)
The following is a DFT calculation (PBE) of a relaxed Er5Tl2Ir2Ru crystal.

```
data_Er5Tl2Ir2Ru
_space_group_name_H-M_alt 'P 4/m b m'
_space_group_IT_number 127
_space_group_name_Hall '-P 4 2ab'
_cell_length_a 11.6463
_cell_length_b 11.6463
_cell_length_c 3.4976
_cell_angle_alpha 90.00
_cell_angle_beta 90.00
_cell_angle_gamma 90.00
loop_
_atom_site_label
_atom_site_type_symbol
_atom_site_fract_x
_atom_site_fract_y
_atom_site_fract_z
Er1 Er 0.0000 0.5000 0.0000
Er2 Er 0.0664 0.1938 0.0000
Tl1 Tl 0.1768 0.6768 0.5000
Ir1 Ir 0.1351 0.3649 0.5000
Ru1 Ru 0.0000 0.0000 0.5000
```

Summary:
E_form (eV/atom): -0.504
M_tot (Bohr magnetons per cell): 0.0
V (Å³/cell): 474
Crystal system: tetragonal

---

(4)
The following is a DFT calculation (PBE) of a relaxed Er7IrS5 crystal.

```
data_Er7IrS5
_space_group_name_H-M_alt 'P 1 21 1'
_space_group_IT_number 4
_space_group_name_Hall 'P 2yb'
_cell_length_a 3.8160
_cell_length_b 23.2929
_cell_length_c 6.6619
_cell_angle_alpha 90.00
_cell_angle_beta 106.59
_cell_angle_gamma 90.00
loop_
_atom_site_label
_atom_site_type_symbol
_atom_site_fract_x
_atom_site_fract_y
_atom_site_fract_z
Er1 Er 0.0389 0.0000 0.0752
Er2 Er 0.1318 0.7163 0.2636
Er3 Er 0.1453 0.2882 0.2926
Er4 Er 0.2979 0.9306 0.5935
Er5 Er 0.3108 0.0719 0.6200
Er6 Er 0.3975 0.6326 0.7959
Er7 Er 0.4156 0.3607 0.8338
Ir1 Ir 0.3057 0.5083 0.6130
S1 S 0.0447 0.6111 0.0911
S2 S 0.0562 0.3924 0.1156
S3 S 0.2184 0.8225 0.4349
S4 S 0.2312 0.1806 0.4620
S5 S 0.4914 0.7495 0.9819
```

Summary:
Formation energy without anion corrections (meV per atom): -1683
M_tot (Bohr magnetons per cell): 0.0
V (Å³/cell): 568
Crystal system: monoclinic